(1)
Below is crystalline La4Pm3Ir4 at its relaxed geometry, with properties calculated at the PBE level.

abc: 9.1752 9.1752 9.1752
angles: 151.07 127.69 60.89
Last column: nearest neighbours and their distance in Å.
Fractional positions:
La1 0.0472 0.8345 0.2127  4 Ir 2.76-3.09
La2 0.3782 0.1655 0.2127  4 Ir 2.76-3.09
La3 0.6218 0.8345 0.7873  4 Ir 2.76-3.09
La4 0.9528 0.1655 0.7873  4 Ir 2.76-3.09
Pm1 0.0000 0.5000 0.5000  6 Ir 3.26-3.47
Pm2 0.4041 0.4041 0.0000  1 Pm 3.03, 4 Ir 3.10
Pm3 0.5959 0.5959 0.0000  1 Pm 3.03, 4 Ir 3.10
Ir1 0.2059 0.7059 0.5000  6 La 2.94-3.09, 1 Pm 3.26
Ir2 0.3217 0.0000 0.3217  2 La 2.76, 1 Ir 2.88
Ir3 0.6783 0.0000 0.6783  2 La 2.76, 1 Ir 2.88
Ir4 0.7941 0.2941 0.5000  6 La 2.94-3.09, 1 Pm 3.26

Computed properties:
**Space group**: Immm (71)
**Total energy**: -75.05 eV for the cell shown

(2)
Below is crystalline Sm2Dy6Y3Ho at its relaxed geometry, with properties calculated at the PBE level.

abc: 6.1682 6.1682 11.8058
angles: 94.97 94.97 119.95
Last column: nearest neighbours and their distance in Å.
Fractional positions:
Sm1 0.1667 0.8333 0.0000  3 Sm 3.56, 3 Ho 3.56, 6 Dy 3.56-3.57
Sm2 0.8333 0.1667 0.0000  3 Sm 3.56, 3 Ho 3.56, 6 Dy 3.56-3.57
Dy1 0.0829 0.4158 0.7496  6 Dy 3.55-3.57, 3 Y 3.56, 2 Sm 3.56-3.57, 1 Ho 3.56
Dy2 0.2515 0.2515 0.2505  3 Y 3.55-3.56, 6 Dy 3.56-3.57, 1 Ho 3.56, 2 Sm 3.57
Dy3 0.4158 0.0829 0.7496  6 Dy 3.55-3.57, 3 Y 3.56, 2 Sm 3.56-3.57, 1 Ho 3.56
Dy4 0.5842 0.9171 0.2504  6 Dy 3.55-3.57, 3 Y 3.56, 2 Sm 3.56-3.57, 1 Ho 3.56
Dy5 0.7485 0.7485 0.7495  3 Y 3.55-3.56, 6 Dy 3.56-3.57, 1 Ho 3.56, 2 Sm 3.57
Dy6 0.9171 0.5842 0.2504  6 Dy 3.55-3.57, 3 Y 3.56, 2 Sm 3.56-3.57, 1 Ho 3.56
Y1 0.0000 0.0000 0.5000  6 Dy 3.56, 6 Y 3.56
Y2 0.3335 0.6665 0.5000  6 Dy 3.55-3.56, 6 Y 3.56-3.57
Y3 0.6665 0.3335 0.5000  6 Dy 3.55-3.56, 6 Y 3.56-3.57
Ho1 0.5000 0.5000 0.0000  6 Dy 3.56, 6 Sm 3.56

Computed properties:
**Space group**: C2/m (12)
**Total energy**: -60.81 eV for the cell shown

(3)
Below is crystalline HfZn3Tc at its relaxed geometry, with properties calculated at the PBE level.

abc: 5.0448 5.0448 5.0448
angles: 90.00 90.00 90.00
Last column: nearest neighbours and their distance in Å.
Fractional positions:
Hf1 0.0000 0.0000 0.0000  6 Zn 2.52
Zn1 0.0000 0.0000 0.5000  2 Hf 2.52
Zn2 0.0000 0.5000 0.0000  2 Hf 2.52
Zn3 0.5000 0.0000 0.0000  2 Hf 2.52
Tc1 0.5000 0.5000 0.5000  12 Zn 3.57

Computed properties:
**Space group**: Pm-3m (221)
**ΔE to the lowest computed polymorph**: 0.849 eV per atom

(4)
Below is crystalline Y6BiAs2P3 at its relaxed geometry, with properties calculated at the PBE level.

abc: 9.2416 9.2416 8.3071
angles: 103.22 103.22 25.65
Last column: nearest neighbours and their distance in Å.
Fractional positions:
Y1 0.0014 0.0014 0.2284  3 P 2.79-2.88, 1 As 2.95, 2 Bi 3.05
Y2 0.3248 0.3248 0.4159  3 P 2.79-2.91, 2 As 2.95, 1 Bi 3.07
Y3 0.3332 0.3332 0.9132  3 P 2.89-2.92, 3 As 2.91-2.94
Y4 0.6668 0.6668 0.0868  3 P 2.89-2.92, 3 As 2.91-2.94
Y5 0.6752 0.6752 0.5841  3 P 2.79-2.91, 2 As 2.95, 1 Bi 3.07
Y6 0.9986 0.9986 0.7716  3 P 2.79-2.88, 1 As 2.95, 2 Bi 3.05
Bi1 0.5000 0.5000 0.5000  6 Y 3.05-3.07
As1 0.1669 0.1669 0.8340  6 Y 2.91-2.95
As2 0.8331 0.8331 0.1660  6 Y 2.91-2.95
P1 0.1657 0.1657 0.3316  6 Y 2.79-2.91
P2 0.5000 0.5000 0.0000  6 Y 2.79-2.92
P3 0.8343 0.8343 0.6684  6 Y 2.79-2.91

Computed properties:
**Space group**: C2/m (12)
**Total energy**: -85.57 eV for the cell shown

Number 1: spin magnetization 0.00 μB per formula unit. Number 2: spin magnetization 0.00 μB per formula unit. Number 3: spin magnetization 2.71 μB per formula unit. Number 4: spin magnetization 0.00 μB per formula unit.